(1)
This record from the Alexandria database describes a relaxed structure of La4CdAg2Pd. The functional is GGA-PBE.

Lattice parameters (Å, degrees): 5.414 5.414 9.263 73.01 73.01 60.00
Element x y z (fractional)
La: 0.384 0.384 0.849
La: 0.868 0.868 0.395
La: 0.132 0.132 0.605
La: 0.616 0.616 0.151
Cd: 0.000 0.000 0.000
Ag: 0.741 0.741 0.778
Ag: 0.259 0.259 0.222
Pd: 0.500 0.500 0.500

Summary:
* space-group type: R-3m, No. 166
* calculated formation energy: -0.40 eV per atom
* M_tot: 0.000 μB/atom
* E_tot: -34.8 eV/cell

(2)
This record from the Alexandria database describes a relaxed structure of NaTmSnPd. The functional is GGA-PBE.

Lattice parameters (Å, degrees): 5.018 5.018 5.018 60.00 60.00 60.00
Element x y z (fractional)
Na: 0.500 0.500 0.500
Tm: 0.000 0.000 0.000
Sn: 0.250 0.250 0.250
Pd: 0.750 0.750 0.750

Summary:
* space-group type: F-43m, No. 216
* calculated formation energy: -0.42 eV per atom
* M_tot: 0.000 μB/atom
* E_tot: -16.7 eV/cell